## CuTeSe (PBE-GGA)

Data for a geometry-optimized CuTeSe structure.

Summary:
Formation energy from raw total energies = 39 meV/atom
M_tot = 0.0000 μB per atom
Relative energy among the computed polymorphs = 99 meV/atom
DOS at the Fermi energy = 2.11 states/eV/cell
Crystal system = tetragonal

Structure (POSCAR):
```
CuTeSe
1.0
-6.902 1.027 -4.574
-5.681 -3.150 -5.236
5.062 0.431 6.618
Cu Se Te
1 1 1
direct
0.862 0.862 0.000
0.439 0.439 0.000
0.700 0.700 0.000
```